Computed, not measured: Tl6AgBr8 after structural relaxation at the GGA-PBE level of DFT.

```
Tl6AgBr8
1.0
7.2177 4.1671 4.1223
-7.2177 4.1671 4.1223
0.0000 -8.3342 4.1223
Tl Ag Br
6 1 8
direct
0.1486 0.5412 0.3535 Tl
0.3535 0.1486 0.5412 Tl
0.4588 0.6465 0.8514 Tl
0.5412 0.3535 0.1486 Tl
0.6465 0.8514 0.4588 Tl
0.8514 0.4588 0.6465 Tl
0.0000 0.0000 0.0000 Ag
0.1644 0.3855 0.6439 Br
0.1999 0.1999 0.1999 Br
0.3561 0.8356 0.6145 Br
0.3855 0.6439 0.1644 Br
0.6145 0.3561 0.8356 Br
0.6439 0.1644 0.3855 Br
0.8001 0.8001 0.8001 Br
0.8356 0.6145 0.3561 Br
```

Calculated values
- Space group: R-3
- Total DFT energy (no corrections): -2.689 eV/atom
- Total moment: 0.000 μB/f.u.
- Formation energy (no corrections): -0.660 eV/atom
- N(E_F): 9.6 states/eV/f.u.
- Crystal system: trigonal
- Calculated volume: 49.59 Å³ per atom

Computed, not measured: TlAgBr2 after structural relaxation at the GGA-PBE level of DFT.

```
TlAgBr2
1.0
8.3118 -2.2131 0.0000
8.3118 2.2131 0.0000
-3.5597 0.0000 7.4216
Tl Ag Br
2 2 4
direct
0.1301 0.1301 0.0677 Tl
0.8699 0.8699 0.9323 Tl
0.4004 0.4004 0.4000 Ag
0.5996 0.5996 0.6000 Ag
0.2027 0.2027 0.7447 Br
0.4821 0.4821 0.7634 Br
0.5179 0.5179 0.2366 Br
0.7973 0.7973 0.2553 Br
```

Calculated values
- Space group: C2/m
- Total DFT energy (no corrections): -2.732 eV/atom
- Total moment: 0.000 μB/f.u.
- Formation energy (no corrections): -0.591 eV/atom
- N(E_F): 0.0 states/eV/f.u.
- Crystal system: monoclinic
- Calculated volume: 34.13 Å³ per atom

Computed, not measured: TlAg2Br after structural relaxation at the GGA-PBE level of DFT.

```
TlAg2Br
1.0
2.1015 -2.8588 0.0000
2.1015 2.8588 0.0000
0.0000 0.0000 8.0334
Tl Ag Br
1 2 1
direct
0.0000 0.0000 0.0000 Tl
0.5000 0.5000 0.2563 Ag
0.5000 0.5000 0.7437 Ag
0.0000 0.0000 0.5000 Br
```

Calculated values
- Space group: Cmmm
- Total DFT energy (no corrections): -2.382 eV/atom
- Total moment: 0.000 μB/f.u.
- Energy above the lowest structure with this stoichiometry: 116.4 meV per atom
- Formation energy (no corrections): 0.053 eV/atom
- N(E_F): 1.1 states/eV/f.u.
- Crystal system: orthorhombic
- Calculated volume: 24.13 Å³ per atom